Entry from the Alexandria database: BaNbP2Ru after structural relaxation (GGA-PBE).

Calculated values
Formation enthalpy at 0 K: -4.12 eV per formula unit

a b c (Å): 4.012 4.012 7.246
angles (deg): 106.07 106.07 90.00
Atoms (fractional coordinates):
Ru 0.250 0.750 0.500
P 0.641 0.641 0.283
P 0.359 0.359 0.717
Ba 0.000 0.000 0.000
Nb 0.750 0.250 0.500



Entry from the Alexandria database: Ba2NbPRu after structural relaxation (GGA-PBE).

Calculated values
Formation enthalpy at 0 K: 3.01 eV per formula unit

a b c (Å): 6.113 4.454 6.113
angles (deg): 90.00 90.00 90.00
Each line ends with the local moment (μB).
Atoms (fractional coordinates):
Nb 0.500 0.500 0.500  2.94
P 0.000 0.500 0.000  -0.03
Ba 0.500 0.000 0.000  0.08
Ba 0.000 0.000 0.500  0.09
Ru 0.000 0.000 0.000  -0.09



Entry from the Alexandria database: BaNbPS2 after structural relaxation (GGA-PBE).

Calculated values
ΔE to the lowest computed polymorph: 0 meV/atom

a b c (Å): 4.932 4.932 4.907
angles (deg): 90.00 90.00 90.00
Atoms (fractional coordinates):
Ba 0.500 0.500 0.500
Nb 0.000 0.000 0.000
S 0.000 0.500 0.000
S 0.500 0.000 0.000
P 0.000 0.000 0.500



Entry from the Alexandria database: BaNbPS2 after structural relaxation (GGA-PBE).

Calculated values
ΔE to the lowest computed polymorph: 2557 meV/atom

a b c (Å): 5.477 5.477 5.407
angles (deg): 90.00 90.00 90.00
Each line ends with the local moment (μB).
Atoms (fractional coordinates):
S 0.500 0.000 0.000  -0.03
S 0.000 0.500 0.000  -0.03
Nb 0.500 0.500 0.500  0.31
Ba 0.000 0.000 0.000  0.00
P 0.000 0.000 0.500  -0.04



Q: Number 2 is which compound?
A: Ba2NbPRu